A geometry-optimized Cr21Fe2C6 structure, computed with GGA-PBEsol.

Cell and atoms, written as CIF:
```
data_Cr21Fe2C6
_space_group_name_H-M_alt 'F m -3 m'
_space_group_IT_number 225
_space_group_name_Hall '-F 4 2 3'
_cell_length_a 10.409
_cell_length_b 10.409
_cell_length_c 10.409
_cell_angle_alpha 90.00
_cell_angle_beta 90.00
_cell_angle_gamma 90.00
loop_
_atom_site_label
_atom_site_fract_x
_atom_site_fract_y
_atom_site_fract_z
Cr1 0.000 0.000 0.000
Cr2 0.000 0.170 0.170
Cr3 0.119 0.119 0.381
Fe1 0.250 0.250 0.250
C1 0.000 0.000 0.277
```

Computed properties:
E: -10.15 eV/atom
Fermi-level density of states: 97.54 states/eV/cell
ρ: 7.5 g/cm3
ΔH_f (0 K): -0.12 eV/atom

***

A geometry-optimized Cr2InFeC structure, computed with GGA-PBEsol.

Cell and atoms, written as CIF:
```
data_Cr2InFeC
_space_group_name_H-M_alt 'P 4/m m m'
_space_group_IT_number 123
_space_group_name_Hall '-P 4 2'
_cell_length_a 3.819
_cell_length_b 3.819
_cell_length_c 4.414
_cell_angle_alpha 90.00
_cell_angle_beta 90.00
_cell_angle_gamma 90.00
loop_
_atom_site_label
_atom_site_fract_x
_atom_site_fract_y
_atom_site_fract_z
Cr1 0.000 0.500 0.000
In1 0.000 0.000 0.500
Fe1 0.500 0.500 0.500
C1 0.000 0.000 0.000
```

Computed properties:
E: -7.80 eV/atom
Fermi-level density of states: 5.50 states/eV/cell
ρ: 7.4 g/cm3
ΔH_f (0 K): 0.61 eV/atom

***

A geometry-optimized Ta6Cr3Fe3C2 structure, computed with GGA-PBEsol.

Cell and atoms, written as CIF:
```
data_Ta6Cr3Fe3C2
_space_group_name_H-M_alt 'I m m 2'
_space_group_IT_number 44
_space_group_name_Hall 'I 2 -2'
_cell_length_a 7.979
_cell_length_b 8.002
_cell_length_c 11.311
_cell_angle_alpha 90.00
_cell_angle_beta 90.00
_cell_angle_gamma 90.00
loop_
_atom_site_label
_atom_site_fract_x
_atom_site_fract_y
_atom_site_fract_z
Ta1 0.000 0.000 0.000
Ta2 0.000 0.000 0.392
Ta3 0.000 0.500 0.142
Ta4 0.000 0.500 0.751
Ta5 0.195 0.196 0.196
Ta6 0.196 0.305 0.946
Cr1 0.000 0.250 0.573
Cr2 0.000 0.344 0.370
Cr3 0.249 0.000 0.822
Fe1 0.000 0.151 0.771
Fe2 0.153 0.000 0.619
Fe3 0.156 0.500 0.526
C1 0.000 0.249 0.071
C2 0.250 0.000 0.321
```

Computed properties:
E: -11.23 eV/atom
Fermi-level density of states: 48.21 states/eV/cell
ρ: 13.2 g/cm3
ΔH_f (0 K): -0.35 eV/atom

***

A geometry-optimized YCr2FeC structure, computed with GGA-PBEsol.

Cell and atoms, written as CIF:
```
data_YCr2FeC
_space_group_name_H-M_alt 'P 4/m m m'
_space_group_IT_number 123
_space_group_name_Hall '-P 4 2'
_cell_length_a 4.035
_cell_length_b 4.035
_cell_length_c 3.875
_cell_angle_alpha 90.00
_cell_angle_beta 90.00
_cell_angle_gamma 90.00
loop_
_atom_site_label
_atom_site_fract_x
_atom_site_fract_y
_atom_site_fract_z
Y1 0.000 0.000 0.000
Cr1 0.000 0.500 0.500
Fe1 0.500 0.500 0.000
C1 0.500 0.500 0.500
```

Computed properties:
E: -9.02 eV/atom
Fermi-level density of states: 4.90 states/eV/cell
ρ: 6.9 g/cm3
ΔH_f (0 K): 0.16 eV/atom

***

Question: Among the records above, which one has the highest Fermi-level density of states?
Answer: Cr21Fe2C6

***

Repeat the second record exactly.
A geometry-optimized Cr2InFeC structure, computed with GGA-PBEsol.

Cell and atoms, written as CIF:
```
data_Cr2InFeC
_space_group_name_H-M_alt 'P 4/m m m'
_space_group_IT_number 123
_space_group_name_Hall '-P 4 2'
_cell_length_a 3.819
_cell_length_b 3.819
_cell_length_c 4.414
_cell_angle_alpha 90.00
_cell_angle_beta 90.00
_cell_angle_gamma 90.00
loop_
_atom_site_label
_atom_site_fract_x
_atom_site_fract_y
_atom_site_fract_z
Cr1 0.000 0.500 0.000
In1 0.000 0.000 0.500
Fe1 0.500 0.500 0.500
C1 0.000 0.000 0.000
```

Computed properties:
E: -7.80 eV/atom
Fermi-level density of states: 5.50 states/eV/cell
ρ: 7.4 g/cm3
ΔH_f (0 K): 0.61 eV/atom

***

Question: Look up the Fermi-level density of states of the first one.
Answer: 97.54 states/eV/cell

***

Question: Number 2 is which compound?
Answer: Cr2InFeC